Compound: SrBeReAs2
Source: Alexandria
Functional: PBE
Structure: relaxed

Properties
The space group is P4/mmm. The crystal system is tetragonal. Its formation energy is 0.49 eV/atom.

Geometry as POSCAR:
```
SrBeReAs2
1.0
4.726 0.000 0.000
0.000 4.363 0.000
0.000 0.000 4.726
Re As Be Sr
1 2 1 1
Direct
0.000 0.500 0.000
0.000 0.000 0.500
0.500 0.000 0.000
0.000 0.000 0.000
0.500 0.500 0.500
```